a.
Entry from the Alexandria database: a relaxed MgBIO2 crystal (GGA-PBE).

Computed properties:
- SG: No. 123

Lattice parameters (Å, degrees): 3.8456 3.8456 6.5423 90.00 90.00 90.00
Last column: nearest neighbours and their distance in Å.
Positions (direct):
B 0.5000 0.5000 0.5000  4 I 2.72
O 0.0000 0.5000 0.0000  2 Mg 1.92
O 0.5000 0.0000 0.0000  2 Mg 1.92
I 0.0000 0.0000 0.5000  4 B 2.72
Mg 0.0000 0.0000 0.0000  4 O 1.92



b.
Entry from the Alexandria database: a relaxed MgBIO2 crystal (GGA-PBE).

Computed properties:
- SG: No. 123

Lattice parameters (Å, degrees): 3.7234 3.7234 4.8300 90.00 90.00 90.00
Last column: nearest neighbours and their distance in Å.
Positions (direct):
Mg 0.5000 0.5000 0.5000  4 I 2.63
I 0.0000 0.0000 0.5000  2 B 2.42, 4 Mg 2.63
O 0.0000 0.5000 0.0000  2 B 1.86
O 0.5000 0.0000 0.0000  2 B 1.86
B 0.0000 0.0000 0.0000  4 O 1.86



Most stable structure, least stable structure: b, a.



a.
Entry from the Alexandria database: a relaxed MgBSb2I crystal (GGA-PBE).

Computed properties:
- SG: No. 123

Lattice parameters (Å, degrees): 4.8614 4.8614 5.3179 90.00 90.00 90.00
Last column: nearest neighbours and their distance in Å.
Positions (direct):
I 0.0000 0.0000 0.5000  2 B 2.66
Mg 0.5000 0.5000 0.5000  4 I 3.44, 8 Sb 3.60
B 0.0000 0.0000 0.0000  4 Sb 2.43, 2 I 2.66
Sb 0.5000 0.0000 0.0000  2 B 2.43
Sb 0.0000 0.5000 0.0000  2 B 2.43



b.
Entry from the Alexandria database: a relaxed MgBSb2I crystal (GGA-PBE).

Computed properties:
- SG: No. 123

Lattice parameters (Å, degrees): 5.3858 5.3858 5.7133 90.00 90.00 90.00
Last column: nearest neighbours and their distance in Å.
Positions (direct):
Sb 0.5000 0.0000 0.0000  2 Mg 2.69
Sb 0.0000 0.5000 0.0000  2 Mg 2.69
Mg 0.0000 0.0000 0.0000  4 Sb 2.69, 2 I 2.86
B 0.5000 0.5000 0.5000  4 I 3.81, 8 Sb 3.93
I 0.0000 0.0000 0.5000  2 Mg 2.86



Most stable structure, least stable structure: a, b.



a.
Entry from the Alexandria database: a relaxed MgBTe2I crystal (GGA-PBE).

Computed properties:
- SG: No. 123

Lattice parameters (Å, degrees): 5.0108 5.0108 4.9957 90.00 90.00 90.00
Last column: nearest neighbours and their distance in Å.
Positions (direct):
Te 0.0000 0.5000 0.0000  2 B 2.51
Te 0.5000 0.0000 0.0000  2 B 2.51
Mg 0.5000 0.5000 0.5000  8 Te 3.54, 4 I 3.54
B 0.0000 0.0000 0.0000  2 I 2.50, 4 Te 2.51
I 0.0000 0.0000 0.5000  2 B 2.50



b.
Entry from the Alexandria database: a relaxed MgBTe2I crystal (GGA-PBE).

Computed properties:
- SG: No. 123

Lattice parameters (Å, degrees): 5.4804 5.4804 5.6625 90.00 90.00 90.00
Last column: nearest neighbours and their distance in Å.
Positions (direct):
B 0.5000 0.5000 0.5000  4 I 3.88, 8 Te 3.94
Te 0.0000 0.5000 0.0000  2 Mg 2.74
Te 0.5000 0.0000 0.0000  2 Mg 2.74
I 0.0000 0.0000 0.5000  2 Mg 2.83
Mg 0.0000 0.0000 0.0000  4 Te 2.74, 2 I 2.83



Most stable structure, least stable structure: a, b.



a.
Entry from the Alexandria database: a relaxed Mg2TlBI crystal (GGA-PBE).

Computed properties:
- SG: No. 123

Lattice parameters (Å, degrees): 4.6882 5.9500 4.6882 90.00 90.00 90.00
Last column: nearest neighbours and their distance in Å.
Positions (direct):
Mg 0.0000 0.0000 0.5000  2 B 2.34
Mg 0.5000 0.0000 0.0000  2 B 2.34
Tl 0.5000 0.5000 0.5000  4 I 3.32
I 0.0000 0.5000 0.0000  2 B 2.97, 4 Tl 3.32
B 0.0000 0.0000 0.0000  4 Mg 2.34



b.
Entry from the Alexandria database: a relaxed Mg2TlBI crystal (GGA-PBE).

Computed properties:
- SG: No. 123

Lattice parameters (Å, degrees): 5.6909 6.4053 5.6909 90.00 90.00 90.00
Last column: nearest neighbours and their distance in Å.
Positions (direct):
B 0.5000 0.5000 0.5000  4 Tl 4.02, 8 Mg 4.28
Mg 0.5000 0.0000 0.0000  2 I 2.85
Mg 0.0000 0.0000 0.5000  2 I 2.85
Tl 0.0000 0.5000 0.0000  2 I 3.20
I 0.0000 0.0000 0.0000  4 Mg 2.85



Most stable structure, least stable structure: a, b.



a.
Entry from the Alexandria database: a relaxed MnBI2 crystal (GGA-PBE).

Computed properties:
- SG: No. 225

Lattice parameters (Å, degrees): 5.1094 5.1094 5.1094 60.00 60.00 60.00
Last column: nearest neighbours and their distance in Å.
Positions (direct):
B 0.0000 0.0000 0.0000  8 I 3.13
I 0.2500 0.2500 0.2500  4 Mn 3.13, 4 B 3.13
I 0.7500 0.7500 0.7500  4 Mn 3.13, 4 B 3.13
Mn 0.5000 0.5000 0.5000  8 I 3.13



b.
Entry from the Alexandria database: a relaxed MnBI2 crystal (GGA-PBE).

Computed properties:
- SG: No. 122

Lattice parameters (Å, degrees): 6.8400 6.8400 7.2867 62.01 62.01 90.00
Last column: nearest neighbours and their distance in Å.
Positions (direct):
I 0.1083 0.6250 0.2500  2 Mn 2.71, 2 B 2.85
I 0.8750 0.8917 0.7500  2 Mn 2.71, 2 B 2.85
I 0.3750 0.3583 0.7500  2 Mn 2.71, 2 B 2.85
I 0.6417 0.1250 0.2500  2 Mn 2.71, 2 B 2.85
Mn 0.0000 0.0000 0.0000  4 I 2.71
Mn 0.7500 0.2500 0.5000  4 I 2.71
B 0.2500 0.7500 0.5000  4 I 2.85
B 0.5000 0.5000 0.0000  4 I 2.85



Most stable structure, least stable structure: b, a.



a.
Entry from the Alexandria database: a relaxed Mn2BI crystal (GGA-PBE).

Computed properties:
- SG: No. 122

Lattice parameters (Å, degrees): 5.1835 5.1835 6.7030 67.25 67.25 90.00
Last column: nearest neighbours and their distance in Å.
Positions (direct):
B 0.5000 0.5000 0.0000  4 Mn 2.02
B 0.2500 0.7500 0.5000  4 Mn 2.02
Mn 0.3750 0.4956 0.7500  2 B 2.02
Mn 0.2456 0.6250 0.2500  2 B 2.02
Mn 0.8750 0.7544 0.7500  2 B 2.02
Mn 0.5044 0.1250 0.2500  2 B 2.02
I 0.0000 0.0000 0.0000  4 Mn 2.71
I 0.7500 0.2500 0.5000  4 Mn 2.71



b.
Entry from the Alexandria database: a relaxed Mn2BI crystal (GGA-PBE).

Computed properties:
- SG: No. 225

Lattice parameters (Å, degrees): 4.0992 4.0992 4.0992 60.00 60.00 60.00
Last column: nearest neighbours and their distance in Å.
Positions (direct):
B 0.0000 0.0000 0.0000  8 Mn 2.51
Mn 0.2500 0.2500 0.2500  4 I 2.51, 4 B 2.51
Mn 0.7500 0.7500 0.7500  4 I 2.51, 4 B 2.51
I 0.5000 0.5000 0.5000  8 Mn 2.51



Most stable structure, least stable structure: a, b.



a.
Entry from the Alexandria database: a relaxed Mn3BI crystal (GGA-PBE).

Computed properties:
- SG: No. 221

Lattice parameters (Å, degrees): 4.1793 4.1793 4.1793 90.00 90.00 90.00
Last column: nearest neighbours and their distance in Å.
Positions (direct):
I 0.5000 0.5000 0.5000  12 Mn 2.96
B 0.0000 0.0000 0.0000  6 Mn 2.09
Mn 0.0000 0.5000 0.0000  2 B 2.09
Mn 0.0000 0.0000 0.5000  2 B 2.09
Mn 0.5000 0.0000 0.0000  2 B 2.09



b.
Entry from the Alexandria database: a relaxed Mn3BI crystal (GGA-PBE).

Computed properties:
- SG: No. 221

Lattice parameters (Å, degrees): 4.5660 4.5660 4.5660 90.00 90.00 90.00
Last column: nearest neighbours and their distance in Å.
Positions (direct):
B 0.5000 0.5000 0.5000  12 Mn 3.23
Mn 0.0000 0.5000 0.0000  2 I 2.28
Mn 0.5000 0.0000 0.0000  2 I 2.28
Mn 0.0000 0.0000 0.5000  2 I 2.28
I 0.0000 0.0000 0.0000  6 Mn 2.28



Most stable structure, least stable structure: a, b.



a.
Entry from the Alexandria database: a relaxed MnB2I crystal (GGA-PBE).

Computed properties:
- SG: No. 225

Lattice parameters (Å, degrees): 4.0705 4.0705 4.0705 60.00 60.00 60.00
Last column: nearest neighbours and their distance in Å.
Positions (direct):
I 0.5000 0.5000 0.5000  8 B 2.49
Mn 0.0000 0.0000 0.0000  8 B 2.49
B 0.7500 0.7500 0.7500  4 Mn 2.49, 4 I 2.49
B 0.2500 0.2500 0.2500  4 I 2.49, 4 Mn 2.49



b.
Entry from the Alexandria database: a relaxed MnB2I crystal (GGA-PBE).

Computed properties:
- SG: No. 122

Lattice parameters (Å, degrees): 5.1679 5.1679 6.2047 65.39 65.39 90.00
Last column: nearest neighbours and their distance in Å.
Positions (direct):
I 0.0000 0.0000 0.0000  4 B 2.49
I 0.7500 0.2500 0.5000  4 B 2.49
B 0.5417 0.1250 0.2500  2 Mn 2.00
B 0.2083 0.6250 0.2500  2 Mn 2.00
B 0.3750 0.4583 0.7500  2 Mn 2.00
B 0.8750 0.7917 0.7500  2 Mn 2.00
Mn 0.2500 0.7500 0.5000  4 B 2.00
Mn 0.5000 0.5000 0.0000  4 B 2.00



Most stable structure, least stable structure: b, a.